No. 1
# Li3Ga5Ag4 (GGA-PBE, optimized geometry)
data_Li3Ga5Ag4
_chemical_formula_sum 'Li6 Ga10 Ag8'
_space_group_name_H-M_alt 'C 1 2/m 1'
_space_group_IT_number 12
_cell_length_a 13.197
_cell_length_b 4.647
_cell_length_c 8.751
_cell_angle_alpha 90.00
_cell_angle_beta 128.46
_cell_angle_gamma 90.00
loop_
_space_group_symop_operation_xyz
'x,y,z'
'-x,-y,-z'
'-x,y,-z'
'x,-y,z'
'x+1/2,y+1/2,z'
'-x+1/2,-y+1/2,-z'
'-x+1/2,y+1/2,-z'
'x+1/2,-y+1/2,z'
loop_
_atom_site_label
_atom_site_type_symbol
_atom_site_fract_x
_atom_site_fract_y
_atom_site_fract_z
_atom_site_occupancy
Li1 Li 0.000 0.000 0.000 1
Li2 Li 0.240 0.000 0.714 1
Ga1 Ga 0.000 0.500 0.000 1
Ga2 Ga 0.060 0.000 0.754 1
Ga3 Ga 0.176 0.000 0.354 1
Ag1 Ag 0.074 0.500 0.434 1
Ag2 Ag 0.217 0.500 0.868 1
# energy of formation from the pure elements: -0.04 eV/atom
# final energy: -0.2009 Ry per atom
# density: 6.33 Mg/m³

---

No. 2
# PrYHg5 (GGA-PBE, optimized geometry)
data_PrYHg5
_chemical_formula_sum 'Pr2 Y2 Hg10'
_space_group_name_H-M_alt 'C 1 2/m 1'
_space_group_IT_number 12
_cell_length_a 6.434
_cell_length_b 8.649
_cell_length_c 6.948
_cell_angle_alpha 90.00
_cell_angle_beta 90.14
_cell_angle_gamma 90.00
loop_
_space_group_symop_operation_xyz
'x,y,z'
'-x,-y,-z'
'-x,y,-z'
'x,-y,z'
'x+1/2,y+1/2,z'
'-x+1/2,-y+1/2,-z'
'-x+1/2,y+1/2,-z'
'x+1/2,-y+1/2,z'
loop_
_atom_site_label
_atom_site_type_symbol
_atom_site_fract_x
_atom_site_fract_y
_atom_site_fract_z
_atom_site_occupancy
Pr1 Pr 0.000 0.000 0.000 1
Y1 Y 0.000 0.500 0.500 1
Hg1 Hg 0.000 0.000 0.500 1
Hg2 Hg 0.250 0.250 0.244 1
# energy of formation from the pure elements: -0.27 eV/atom
# final energy: -0.1535 Ry per atom
# density: 10.59 Mg/m³

---

No. 3
# Sc2BrCl (GGA-PBE, optimized geometry)
data_Sc2BrCl
_chemical_formula_sum 'Sc8 Br4 Cl4'
_space_group_name_H-M_alt 'F m -3 m'
_space_group_IT_number 225
_space_group_name_Hall '-F 4 2 3'
_cell_length_a 6.717
_cell_length_b 6.717
_cell_length_c 6.717
_cell_angle_alpha 90.00
_cell_angle_beta 90.00
_cell_angle_gamma 90.00
loop_
_atom_site_label
_atom_site_type_symbol
_atom_site_fract_x
_atom_site_fract_y
_atom_site_fract_z
_atom_site_occupancy
Sc1 Sc 0.250 0.250 0.250 1
Br1 Br 0.000 0.000 0.000 1
Cl1 Cl 0.000 0.000 0.500 1
# ΔE_f (raw): -0.709 eV per atom
# final energy: -0.3494 Ry per atom
# excess energy over the best structure of this formula in the dataset: 563 meV/atom
# density: 4.50 Mg/m³

---

No. 4
# NpCuAs2 (GGA-PBE, optimized geometry)
data_NpCuAs2
_chemical_formula_sum 'Np1 Cu1 As2'
_space_group_name_H-M_alt 'P 4/m m m'
_space_group_IT_number 123
_space_group_name_Hall '-P 4 2'
_cell_length_a 4.397
_cell_length_b 4.397
_cell_length_c 3.740
_cell_angle_alpha 90.00
_cell_angle_beta 90.00
_cell_angle_gamma 90.00
loop_
_atom_site_label
_atom_site_type_symbol
_atom_site_fract_x
_atom_site_fract_y
_atom_site_fract_z
_atom_site_occupancy
Np1 Np 0.000 0.000 0.000 1
Cu1 Cu 0.500 0.500 0.000 1
As1 As 0.000 0.500 0.500 1
# energy of formation from the pure elements: -0.31 eV/atom
# final energy: -0.5069 Ry per atom
# density: 10.34 Mg/m³

---

Question: Which value of final energy does entry 3 give?
Answer: -0.3494 Ry per atom

---

What did the first record say?
# Li3Ga5Ag4 (GGA-PBE, optimized geometry)
data_Li3Ga5Ag4
_chemical_formula_sum 'Li6 Ga10 Ag8'
_space_group_name_H-M_alt 'C 1 2/m 1'
_space_group_IT_number 12
_cell_length_a 13.197
_cell_length_b 4.647
_cell_length_c 8.751
_cell_angle_alpha 90.00
_cell_angle_beta 128.46
_cell_angle_gamma 90.00
loop_
_space_group_symop_operation_xyz
'x,y,z'
'-x,-y,-z'
'-x,y,-z'
'x,-y,z'
'x+1/2,y+1/2,z'
'-x+1/2,-y+1/2,-z'
'-x+1/2,y+1/2,-z'
'x+1/2,-y+1/2,z'
loop_
_atom_site_label
_atom_site_type_symbol
_atom_site_fract_x
_atom_site_fract_y
_atom_site_fract_z
_atom_site_occupancy
Li1 Li 0.000 0.000 0.000 1
Li2 Li 0.240 0.000 0.714 1
Ga1 Ga 0.000 0.500 0.000 1
Ga2 Ga 0.060 0.000 0.754 1
Ga3 Ga 0.176 0.000 0.354 1
Ag1 Ag 0.074 0.500 0.434 1
Ag2 Ag 0.217 0.500 0.868 1
# energy of formation from the pure elements: -0.04 eV/atom
# final energy: -0.2009 Ry per atom
# density: 6.33 Mg/m³

---

Question: Which value of final energy does entry 2 give?
Answer: -0.1535 Ry per atom

---

Question: The lowest density belongs to which entry?
Answer: Sc2BrCl